Entry 1:
Entry from Alexandria: a relaxed Na6HoTl12 crystal (PBE).

CIF file:
```
data_Na6HoTl12
_chemical_formula_sum 'Na18 Ho3 Tl36'
_symmetry_space_group_name_H-M 'R -3'
_symmetry_Int_Tables_number 148
_symmetry_space_group_name_Hall '-R 3'
_cell_length_a 12.2297
_cell_length_b 12.2297
_cell_length_c 13.2175
_cell_angle_alpha 90.00
_cell_angle_beta 90.00
_cell_angle_gamma 120.00
loop_
_atom_site_label
_atom_site_fract_x
_atom_site_fract_y
_atom_site_fract_z
Na1 0.0161 0.4215 0.2147
Ho1 0.0000 0.0000 0.5000
Tl1 0.0436 0.1846 0.3191
Tl2 0.0543 0.8625 0.9030
```

Summary:
The calculation puts the magnetization at 0.0 Bohr magnetons per cell. As for the energy of formation from the pure elements: -46.3 meV per atom. The raw total energy is -41.77 eV/f.u.


Entry 2:
Entry from Alexandria: a relaxed NaHoTl crystal (PBE).

CIF file:
```
data_NaHoTl
_chemical_formula_sum 'Na2 Ho2 Tl2'
_symmetry_space_group_name_H-M 'P 63/m m c'
_symmetry_Int_Tables_number 194
_symmetry_space_group_name_Hall '-P 6c 2c'
_cell_length_a 5.4840
_cell_length_b 5.4840
_cell_length_c 6.3441
_cell_angle_alpha 90.00
_cell_angle_beta 90.00
_cell_angle_gamma 120.00
loop_
_atom_site_label
_atom_site_fract_x
_atom_site_fract_y
_atom_site_fract_z
Na1 0.0000 0.0000 0.0000
Ho1 0.3333 0.6667 0.2500
Tl1 0.3333 0.6667 0.7500
```

Summary:
The calculation puts the energy above the most stable polymorph in this dataset at 0 meV per atom. The calculation puts the magnetization at 0.0 Bohr magnetons per cell. As for the energy of formation from the pure elements: -133.8 meV per atom. The raw total energy is -8.66 eV/f.u.


Entry 3:
Entry from Alexandria: a relaxed NaHoTl crystal (PBE).

CIF file:
```
data_NaHoTl
_chemical_formula_sum 'Na2 Ho2 Tl2'
_symmetry_space_group_name_H-M 'I 4 m m'
_symmetry_Int_Tables_number 107
_symmetry_space_group_name_Hall 'I 4 -2'
_cell_length_a 3.7692
_cell_length_b 3.7692
_cell_length_c 12.6074
_cell_angle_alpha 90.00
_cell_angle_beta 90.00
_cell_angle_gamma 90.00
loop_
_atom_site_label
_atom_site_fract_x
_atom_site_fract_y
_atom_site_fract_z
Na1 0.0000 0.0000 0.0000
Ho1 0.0000 0.0000 0.7046
Tl1 0.0000 0.0000 0.3455
```

Summary:
The calculation puts the energy above the most stable polymorph in this dataset at 145 meV per atom. The calculation puts the magnetization at 0.7 Bohr magnetons per cell. As for the energy of formation from the pure elements: 11.5 meV per atom. The raw total energy is -8.23 eV/f.u.


Entry 4:
Entry from Alexandria: a relaxed NaHo2Tl3 crystal (PBE).

CIF file:
```
data_NaHo2Tl3
_chemical_formula_sum 'Na1 Ho2 Tl3'
_symmetry_space_group_name_H-M 'P 4/m m m'
_symmetry_Int_Tables_number 123
_symmetry_space_group_name_Hall '-P 4 2'
_cell_length_a 3.7760
_cell_length_b 3.7760
_cell_length_c 11.5481
_cell_angle_alpha 90.00
_cell_angle_beta 90.00
_cell_angle_gamma 90.00
loop_
_atom_site_label
_atom_site_fract_x
_atom_site_fract_y
_atom_site_fract_z
Na1 0.0000 0.0000 0.0000
Ho1 0.0000 0.0000 0.3327
Tl1 0.5000 0.5000 0.1743
Tl2 0.5000 0.5000 0.5000
```

Summary:
The calculation puts the magnetization at 0.0 Bohr magnetons per cell. As for the energy of formation from the pure elements: -245.3 meV per atom. The raw total energy is -19.04 eV/f.u.


Entry 5:
Entry from Alexandria: a relaxed NaHo4Tl5 crystal (PBE).

CIF file:
```
data_NaHo4Tl5
_chemical_formula_sum 'Na1 Ho4 Tl5'
_symmetry_space_group_name_H-M 'P 4/m m m'
_symmetry_Int_Tables_number 123
_symmetry_space_group_name_Hall '-P 4 2'
_cell_length_a 3.7510
_cell_length_b 3.7510
_cell_length_c 19.3415
_cell_angle_alpha 90.00
_cell_angle_beta 90.00
_cell_angle_gamma 90.00
loop_
_atom_site_label
_atom_site_fract_x
_atom_site_fract_y
_atom_site_fract_z
Na1 0.0000 0.0000 0.0000
Ho1 0.0000 0.0000 0.1996
Ho2 0.0000 0.0000 0.4001
Tl1 0.5000 0.5000 0.1048
Tl2 0.5000 0.5000 0.3015
Tl3 0.5000 0.5000 0.5000
```

Summary:
The calculation puts the magnetization at 0.0 Bohr magnetons per cell. As for the energy of formation from the pure elements: -280.4 meV per atom. The raw total energy is -34.27 eV/f.u.


Entry 6:
Entry from Alexandria: a relaxed NaHo2Tl9 crystal (PBE).

CIF file:
```
data_NaHo2Tl9
_chemical_formula_sum 'Na1 Ho2 Tl9'
_symmetry_space_group_name_H-M 'P 4/m m m'
_symmetry_Int_Tables_number 123
_symmetry_space_group_name_Hall '-P 4 2'
_cell_length_a 4.7875
_cell_length_b 4.7875
_cell_length_c 14.3983
_cell_angle_alpha 90.00
_cell_angle_beta 90.00
_cell_angle_gamma 90.00
loop_
_atom_site_label
_atom_site_fract_x
_atom_site_fract_y
_atom_site_fract_z
Na1 0.0000 0.0000 0.0000
Ho1 0.0000 0.0000 0.3401
Tl1 0.0000 0.5000 0.1700
Tl2 0.0000 0.5000 0.5000
Tl3 0.5000 0.5000 0.0000
Tl4 0.5000 0.5000 0.3336
```

Summary:
The calculation puts the magnetization at 0.0 Bohr magnetons per cell. As for the energy of formation from the pure elements: -146.5 meV per atom. The raw total energy is -33.53 eV/f.u.


Entry 7:
Entry from Alexandria: a relaxed NaHoTl crystal (PBE).

CIF file:
```
data_NaHoTl
_chemical_formula_sum 'Na4 Ho4 Tl4'
_symmetry_space_group_name_H-M 'I 4/m m m'
_symmetry_Int_Tables_number 139
_symmetry_space_group_name_Hall '-I 4 2'
_cell_length_a 3.5692
_cell_length_b 3.5692
_cell_length_c 29.1074
_cell_angle_alpha 90.00
_cell_angle_beta 90.00
_cell_angle_gamma 90.00
loop_
_atom_site_label
_atom_site_fract_x
_atom_site_fract_y
_atom_site_fract_z
Na1 0.0000 0.0000 0.0603
Ho1 0.0000 0.0000 0.2080
Tl1 0.0000 0.0000 0.3664
```

Summary:
The calculation puts the energy above the most stable polymorph in this dataset at 28 meV per atom. The calculation puts the magnetization at 0.0 Bohr magnetons per cell. As for the energy of formation from the pure elements: -105.9 meV per atom. The raw total energy is -8.58 eV/f.u.


Entry 8:
Entry from Alexandria: a relaxed Na2HoTl crystal (PBE).

CIF file:
```
data_Na2HoTl
_chemical_formula_sum 'Na6 Ho3 Tl3'
_symmetry_space_group_name_H-M 'R -3 m'
_symmetry_Int_Tables_number 166
_symmetry_space_group_name_Hall '-R 3 2"'
_cell_length_a 3.4181
_cell_length_b 3.4181
_cell_length_c 37.3217
_cell_angle_alpha 90.00
_cell_angle_beta 90.00
_cell_angle_gamma 120.00
loop_
_atom_site_label
_atom_site_fract_x
_atom_site_fract_y
_atom_site_fract_z
Na1 0.0000 0.0000 0.0909
Ho1 0.0000 0.0000 0.0000
Tl1 0.0000 0.0000 0.5000
```

Summary:
The calculation puts the magnetization at 0.0 Bohr magnetons per cell. As for the energy of formation from the pure elements: 162.1 meV per atom. The raw total energy is -8.93 eV/f.u.


- The highest magnetization belongs to which entry?
  number 3


- What is the magnetization in the third record?
  0.7 Bohr magnetons per cell


What did the fifth record say?
Entry from Alexandria: a relaxed NaHo4Tl5 crystal (PBE).

CIF file:
```
data_NaHo4Tl5
_chemical_formula_sum 'Na1 Ho4 Tl5'
_symmetry_space_group_name_H-M 'P 4/m m m'
_symmetry_Int_Tables_number 123
_symmetry_space_group_name_Hall '-P 4 2'
_cell_length_a 3.7510
_cell_length_b 3.7510
_cell_length_c 19.3415
_cell_angle_alpha 90.00
_cell_angle_beta 90.00
_cell_angle_gamma 90.00
loop_
_atom_site_label
_atom_site_fract_x
_atom_site_fract_y
_atom_site_fract_z
Na1 0.0000 0.0000 0.0000
Ho1 0.0000 0.0000 0.1996
Ho2 0.0000 0.0000 0.4001
Tl1 0.5000 0.5000 0.1048
Tl2 0.5000 0.5000 0.3015
Tl3 0.5000 0.5000 0.5000
```

Summary:
The calculation puts the magnetization at 0.0 Bohr magnetons per cell. As for the energy of formation from the pure elements: -280.4 meV per atom. The raw total energy is -34.27 eV/f.u.